The following is a PBE calculation of a geometry-optimized LiMgCd5 structure, from Alexandria.

Unit cell a=5.270 b=5.270 c=6.145 alpha=90.00 beta=90.00 gamma=108.35
Element x y z (fractional)
Cd1 0.000 0.500 0.245
Li1 0.500 0.500 0.500
Mg1 0.000 0.000 0.000
Cd2 0.000 0.500 0.755
Cd3 0.500 0.000 0.245
Cd4 0.500 0.000 0.755
Cd5 0.000 0.000 0.500

Formation energy in eV/atom: -0.049
DOS at the Fermi energy in states/eV per atom: 0.349
Symmetry: Cmmm, No. 65
E above lowest polymorph in meV/atom: 38